Density functional theory data (PBE-GGA) for a relaxed AcCe4Bi4 crystal.

a = 6.4602 Å, b = 10.3419 Å, c = 10.3419 Å
α = 90.00°, β = 90.00°, γ = 90.00°
Site moments in Bohr magnetons follow the coordinates.
Sites, in units of the cell vectors:
1 Ce 0.5000 0.7015 0.8951  0.97
2 Ce 0.0000 0.3951 0.7985  0.97
3 Ce 0.0000 0.7985 0.6049  0.97
4 Ce 0.0000 0.2015 0.3951  0.97
5 Ce 0.0000 0.6049 0.2015  0.97
6 Ce 0.5000 0.1049 0.7015  0.97
7 Ce 0.5000 0.8951 0.2985  0.97
8 Ce 0.5000 0.2985 0.1049  0.97
9 Bi 0.0000 0.3091 0.1006  -0.04
10 Bi 0.5000 0.8091 0.6006  -0.04
11 Bi 0.5000 0.3994 0.8091  -0.04
12 Bi 0.0000 0.1006 0.6909  -0.04
13 Bi 0.5000 0.1909 0.3994  -0.04
14 Bi 0.0000 0.6909 0.8994  -0.04
15 Bi 0.5000 0.6006 0.1909  -0.04
16 Bi 0.0000 0.8994 0.3091  -0.04
17 Ac 0.5000 0.5000 0.5000  0.05
18 Ac 0.0000 0.0000 0.0000  0.05

Values from the calculation:
SG: No. 87
Calculated density (Mg/m³): 7.8
Formation energy (eV per atom): -0.58
Size of the total moment (μB per cell): 9.6


Density functional theory data (PBE-GGA) for a relaxed SrSb2F crystal.

a = 5.6134 Å, b = 5.6134 Å, c = 9.1800 Å
α = 72.20°, β = 72.20°, γ = 90.00°
Sites, in units of the cell vectors:
1 Sb 0.8750 0.7007 0.7500
2 Sb 0.4507 0.1250 0.2500
3 Sb 0.3750 0.5493 0.7500
4 Sb 0.2993 0.6250 0.2500
5 Sr 0.7500 0.2500 0.5000
6 Sr 0.0000 0.0000 0.0000
7 F 0.5000 0.5000 0.0000
8 F 0.2500 0.7500 0.5000

Values from the calculation:
SG: No. 122
Uncorrected formation energy (eV per atom): -0.77
Calculated density (Mg/m³): 4.5
Size of the total moment (μB per cell): 0.0


Density functional theory data (PBE-GGA) for a relaxed BeCuIO2 crystal.

a = 3.5131 Å, b = 3.5131 Å, c = 6.4749 Å
α = 90.00°, β = 90.00°, γ = 90.00°
Sites, in units of the cell vectors:
1 O 0.5000 0.0000 0.0000
2 O 0.0000 0.5000 0.0000
3 Cu 0.5000 0.5000 0.5000
4 I 0.0000 0.0000 0.5000
5 Be 0.0000 0.0000 0.0000

Values from the calculation:
SG: No. 123
Uncorrected formation energy (eV per atom): -0.22
Calculated density (Mg/m³): 4.8
Size of the total moment (μB per cell): 0.0